ZrScAg | GGA-PBE | optimized geometry

abc: 5.3669 8.1127 3.2200
angles: 101.47 107.46 75.62
Element x y z (fractional)
Sc (0.1280, 0.2452, 0.8868)
Sc (0.7020, 0.6740, 0.8885)
Ag (0.6456, 0.3632, 0.2047)
Ag (0.1844, 0.5560, 0.5705)
Zr (0.1695, 0.8978, 0.2341)
Zr (0.6606, 0.0214, 0.5414)

Output
Polymorph energy (0 for the lowest one)   0.010 eV/atom
Electronic total energy   -6.051 eV/atom
Formation energy from the elements   -0.14 eV/atom
Spin magnetization   0.000 μB per atom
Theoretical density   6.314 Mg/m³